1.
## CuTc2 (GGA-PBE)

Data for a relaxed CuTc2 crystal.

Summary:
Energy above the lowest structure with this stoichiometry in kJ/mol of atoms: 9.8
ρ in g/cm³: 10.3
Crystal system: orthorhombic
Total magnetization in μB per formula unit: 0.0

Structure (POSCAR):
```
CuTc2
1.0
-4.6256 -1.2697 -2.4119
1.7071 -2.9392 -1.7267
-1.9468 -4.8123 6.2670
Cu Tc
4 8
Cartesian
-1.8932 -5.3057 5.0553 Cu
-1.3196 -4.7132 0.4050 Cu
-3.5456 -4.3080 1.7234 Cu
-2.9720 -3.7156 -2.9269 Cu
-0.6695 -3.1158 -1.6714 Tc
-4.2088 -6.8550 1.1945 Tc
-0.6565 -2.1662 0.9339 Tc
-1.2519 -3.7107 2.9744 Tc
-1.9547 -6.3654 2.5896 Tc
-3.6134 -5.3105 -0.8460 Tc
-2.9106 -2.6558 -0.4612 Tc
-4.1957 -5.9054 3.7998 Tc
```

2.
## YAl2Os (GGA-PBE)

Data for a relaxed YAl2Os crystal.

Summary:
ρ in g/cm³: 8.1
Crystal system: cubic
E in eV per atom: -6.61
Total magnetization in μB per formula unit: 0.0

Structure (POSCAR):
```
YAl2Os
1.0
0.0000 3.2475 3.2475
3.2475 0.0000 3.2475
3.2475 3.2475 0.0000
Os Al Y
1 2 1
Cartesian
3.2475 3.2475 3.2475 Os
4.8713 4.8713 4.8713 Al
1.6238 1.6238 1.6238 Al
0.0000 0.0000 0.0000 Y
```

3.
## MgScCd3 (GGA-PBE)

Data for a relaxed MgScCd3 crystal.

Summary:
Energy above the lowest structure with this stoichiometry in kJ/mol of atoms: 0.0
ρ in g/cm³: 6.1
Crystal system: monoclinic
Total magnetization in μB per formula unit: 0.0

Structure (POSCAR):
```
MgScCd3
1.0
-2.3537 2.0896 0.8555
-2.8209 -1.6106 -3.8272
-5.4752 -9.4482 8.0134
Cd Mg Sc
6 2 2
Cartesian
-2.6021 -0.6149 0.5601 Cd
-4.8411 -4.4789 3.8378 Cd
-7.9296 -8.1771 4.3738 Cd
-5.6882 -4.3122 1.1005 Cd
-2.3816 -1.6822 -2.4435 Cd
-5.7934 -9.1978 6.5264 Cd
-4.5786 -2.3970 -0.5248 Mg
-5.9523 -6.3938 5.4578 Mg
-5.6282 -7.2824 2.3025 Sc
-2.5489 -3.5989 1.7775 Sc
```

4.
## EuScCuGe (GGA-PBE)

Data for a relaxed EuScCuGe crystal.

Summary:
ρ in g/cm³: 6.5
Crystal system: cubic
E in eV per atom: -6.72
Total magnetization in μB per formula unit: 7.3

Structure (POSCAR):
```
EuScCuGe
1.0
4.9290 0.0000 0.0000
2.4645 4.2686 0.0000
2.4645 1.4229 4.0245
Cu Sc Eu Ge
1 1 1 1
Cartesian
4.9290 2.8457 2.0122 Cu
2.4645 1.4229 1.0061 Sc
7.3934 4.2686 3.0184 Eu
0.0000 0.0000 0.0000 Ge
```

Q: The highest ρ belongs to which entry?
A: CuTc2

Please write out number 4 again, unchanged.
## EuScCuGe (GGA-PBE)

Data for a relaxed EuScCuGe crystal.

Summary:
ρ in g/cm³: 6.5
Crystal system: cubic
E in eV per atom: -6.72
Total magnetization in μB per formula unit: 7.3

Structure (POSCAR):
```
EuScCuGe
1.0
4.9290 0.0000 0.0000
2.4645 4.2686 0.0000
2.4645 1.4229 4.0245
Cu Sc Eu Ge
1 1 1 1
Cartesian
4.9290 2.8457 2.0122 Cu
2.4645 1.4229 1.0061 Sc
7.3934 4.2686 3.0184 Eu
0.0000 0.0000 0.0000 Ge
```

Please write out number 1 again, unchanged.
## CuTc2 (GGA-PBE)

Data for a relaxed CuTc2 crystal.

Summary:
Energy above the lowest structure with this stoichiometry in kJ/mol of atoms: 9.8
ρ in g/cm³: 10.3
Crystal system: orthorhombic
Total magnetization in μB per formula unit: 0.0

Structure (POSCAR):
```
CuTc2
1.0
-4.6256 -1.2697 -2.4119
1.7071 -2.9392 -1.7267
-1.9468 -4.8123 6.2670
Cu Tc
4 8
Cartesian
-1.8932 -5.3057 5.0553 Cu
-1.3196 -4.7132 0.4050 Cu
-3.5456 -4.3080 1.7234 Cu
-2.9720 -3.7156 -2.9269 Cu
-0.6695 -3.1158 -1.6714 Tc
-4.2088 -6.8550 1.1945 Tc
-0.6565 -2.1662 0.9339 Tc
-1.2519 -3.7107 2.9744 Tc
-1.9547 -6.3654 2.5896 Tc
-3.6134 -5.3105 -0.8460 Tc
-2.9106 -2.6558 -0.4612 Tc
-4.1957 -5.9054 3.7998 Tc
```